Record 1
{
  "formula": "InB2Cl8",
  "functional": "GGA-PBE",
  "state": "relaxed",
  "total_magnetization_mub_per_fu": 0.8,
  "sg": "C2/m, No. 12",
  "final_energy_ev_per_atom": -3.67,
  "cell": [[6.014, -4.886, 0.000], [6.014, 4.886, 0.000], [-1.071, 0.000, 5.829]],
  "species": ["In", "B", "B", "Cl", "Cl", "Cl", "Cl", "Cl", "Cl", "Cl", "Cl"],
  "frac_coords": [[0.000, 0.000, 0.000], [0.205, 0.205, 0.665], [0.795, 0.795, 0.335], [0.029, 0.715, 0.257], [0.200, 0.200, 0.344], [0.285, 0.971, 0.743], [0.351, 0.351, 0.806], [0.649, 0.649, 0.194], [0.715, 0.029, 0.257], [0.800, 0.800, 0.656], [0.971, 0.285, 0.743]]
}

---

Record 2
{
  "formula": "InBCl3",
  "functional": "GGA-PBE",
  "state": "relaxed",
  "total_magnetization_mub_per_fu": 0.4,
  "e_above_lowest_polymorph_mev_per_atom": 1163,
  "sg": "Pm-3m, No. 221",
  "cell": [[5.234, 0.000, 0.000], [0.000, 5.234, 0.000], [0.000, 0.000, 5.234]],
  "species": ["In", "B", "Cl", "Cl", "Cl"],
  "frac_coords": [[0.000, 0.000, 0.000], [0.500, 0.500, 0.500], [0.000, 0.000, 0.500], [0.000, 0.500, 0.000], [0.500, 0.000, 0.000]]
}

---

Record 3
{
  "formula": "InBCl3",
  "functional": "GGA-PBE",
  "state": "relaxed",
  "total_magnetization_mub_per_fu": 0.0,
  "e_above_lowest_polymorph_mev_per_atom": 791,
  "sg": "Pm-3m, No. 221",
  "cell": [[4.664, 0.000, 0.000], [0.000, 4.664, 0.000], [0.000, 0.000, 4.664]],
  "species": ["In", "B", "Cl", "Cl", "Cl"],
  "frac_coords": [[0.000, 0.000, 0.000], [0.500, 0.500, 0.500], [0.000, 0.500, 0.500], [0.500, 0.000, 0.500], [0.500, 0.500, 0.000]]
}

---

Record 4
{
  "formula": "InBCl3",
  "functional": "GGA-PBE",
  "state": "relaxed",
  "total_magnetization_mub_per_fu": 0.0,
  "e_above_lowest_polymorph_mev_per_atom": 0,
  "sg": "P1, No. 1",
  "cell": [[6.735, 0.000, 0.000], [3.334, 5.947, 0.000], [3.361, 1.683, 6.542]],
  "species": ["In", "In", "B", "B", "Cl", "Cl", "Cl", "Cl", "Cl", "Cl"],
  "frac_coords": [[0.000, 0.000, 0.000], [0.448, 0.575, 0.530], [0.695, 0.716, 0.893], [0.753, 0.857, 0.638], [0.468, 0.048, 0.563], [0.505, 0.930, 0.061], [0.527, 0.524, 0.969], [0.921, 0.049, 0.563], [0.943, 0.643, 0.470], [0.980, 0.526, 0.968]]
}

---

Record 5
{
  "formula": "In2BCl",
  "functional": "GGA-PBE",
  "state": "relaxed",
  "total_magnetization_mub_per_fu": 0.0,
  "e_above_lowest_polymorph_mev_per_atom": 0,
  "sg": "I-42d, No. 122",
  "cell": [[-2.990, 2.990, 5.700], [2.990, -2.990, 5.700], [2.990, 2.990, -5.700]],
  "species": ["In", "In", "In", "In", "B", "B", "Cl", "Cl"],
  "frac_coords": [[0.015, 0.625, 0.890], [0.375, 0.265, 0.390], [0.735, 0.125, 0.110], [0.875, 0.985, 0.610], [0.000, 0.000, 0.000], [0.750, 0.250, 0.500], [0.250, 0.750, 0.500], [0.500, 0.500, 0.000]]
}

---

Record 6
{
  "formula": "LiInBCl2",
  "functional": "GGA-PBE",
  "state": "relaxed",
  "total_magnetization_mub_per_fu": 0.9,
  "sg": "P4/mmm, No. 123",
  "final_energy_ev_per_atom": -2.97,
  "cell": [[5.614, 0.000, 0.000], [0.000, 5.614, 0.000], [0.000, 0.000, 4.354]],
  "species": ["Li", "In", "B", "Cl", "Cl"],
  "frac_coords": [[0.000, 0.000, 0.000], [0.500, 0.500, 0.500], [0.500, 0.500, 0.000], [0.000, 0.500, 0.500], [0.500, 0.000, 0.500]]
}

---

Record 7
{
  "formula": "MgInBCl2",
  "functional": "GGA-PBE",
  "state": "relaxed",
  "total_magnetization_mub_per_fu": 0.0,
  "sg": "P4/mmm, No. 123",
  "final_energy_ev_per_atom": -2.71,
  "cell": [[4.568, 0.000, 0.000], [0.000, 4.568, 0.000], [0.000, 0.000, 9.520]],
  "species": ["Mg", "In", "B", "Cl", "Cl"],
  "frac_coords": [[0.000, 0.000, 0.000], [0.000, 0.000, 0.500], [0.500, 0.500, 0.500], [0.000, 0.500, 0.000], [0.500, 0.000, 0.000]]
}

---

Record 8
{
  "formula": "InBP2Cl",
  "functional": "GGA-PBE",
  "state": "relaxed",
  "total_magnetization_mub_per_fu": 0.0,
  "e_above_lowest_polymorph_mev_per_atom": 0,
  "sg": "P4/mmm, No. 123",
  "cell": [[3.992, 0.000, 0.000], [0.000, 3.992, 0.000], [0.000, 0.000, 6.835]],
  "species": ["In", "B", "P", "P", "Cl"],
  "frac_coords": [[0.000, 0.000, 0.000], [0.500, 0.500, 0.500], [0.000, 0.500, 0.500], [0.500, 0.000, 0.500], [0.500, 0.500, 0.000]]
}